# 1
Density functional theory data (GGA-PBEsol) for an optimized crystal structure of La2ZnAg.

Output
**Energy relative to the elements**: -0.24 eV/atom
**Space group**: P4/mmm, No. 123

The structure in POSCAR format:
```
La2ZnAg
1.0
5.265 0.000 0.000
0.000 5.265 0.000
0.000 0.000 3.717
La Zn Ag
2 1 1
Direct
0.000 0.500 0.000
0.500 0.000 0.000
0.000 0.000 0.500
0.500 0.500 0.500
```


# 2
Density functional theory data (GGA-PBEsol) for an optimized crystal structure of La2ZnAg.

Output
**Energy relative to the elements**: -0.26 eV/atom
**Space group**: Pmm2, No. 25

The structure in POSCAR format:
```
La2ZnAg
1.0
3.669 0.000 0.000
0.000 4.937 0.000
0.000 0.000 5.447
La Zn Ag
2 1 1
Direct
0.000 0.000 0.000
0.000 0.500 0.396
0.500 0.000 0.524
0.500 0.500 0.860
```


# 3
Density functional theory data (GGA-PBEsol) for an optimized crystal structure of LaZnAg4.

Output
**Energy relative to the elements**: -0.15 eV/atom
**Space group**: F-43m, No. 216

The structure in POSCAR format:
```
LaZnAg4
1.0
0.000 3.887 3.887
3.887 0.000 3.887
3.887 3.887 0.000
La Zn Ag
1 1 4
Direct
0.000 0.000 0.000
0.750 0.750 0.750
0.376 0.376 0.376
0.376 0.376 0.872
0.376 0.872 0.376
0.872 0.376 0.376
```


# 4
Density functional theory data (GGA-PBEsol) for an optimized crystal structure of LaZr2Ag.

Output
**Energy relative to the lowest polymorph listed for this composition**: 198 meV per atom
**Energy relative to the elements**: 0.16 eV/atom
**Space group**: I4/mmm, No. 139

The structure in POSCAR format:
```
LaZr2Ag
1.0
4.389 0.000 0.000
0.000 4.389 0.000
0.000 0.000 9.477
La Zr Ag
2 4 2
Direct
0.000 0.000 0.000
0.500 0.500 0.500
0.000 0.500 0.250
0.000 0.500 0.750
0.500 0.000 0.250
0.500 0.000 0.750
0.000 0.000 0.500
0.500 0.500 0.000
```


# 5
Density functional theory data (GGA-PBEsol) for an optimized crystal structure of LaZrAg2.

Output
**Energy relative to the elements**: 0.02 eV/atom
**Space group**: Fm-3m, No. 225

The structure in POSCAR format:
```
LaZrAg2
1.0
7.148 0.000 0.000
0.000 7.148 0.000
0.000 0.000 7.148
La Zr Ag
4 4 8
Direct
0.000 0.000 0.000
0.000 0.500 0.500
0.500 0.000 0.500
0.500 0.500 0.000
0.000 0.000 0.500
0.000 0.500 0.000
0.500 0.000 0.000
0.500 0.500 0.500
0.250 0.250 0.250
0.250 0.250 0.750
0.250 0.750 0.250
0.250 0.750 0.750
0.750 0.250 0.250
0.750 0.250 0.750
0.750 0.750 0.250
0.750 0.750 0.750
```


# 6
Density functional theory data (GGA-PBEsol) for an optimized crystal structure of La2ZrAg.

Output
**Energy relative to the lowest polymorph listed for this composition**: 117 meV per atom
**Energy relative to the elements**: 0.15 eV/atom
**Space group**: Immm, No. 71

The structure in POSCAR format:
```
La2ZrAg
1.0
3.547 0.000 0.000
0.000 5.467 0.000
0.000 0.000 10.475
La Zr Ag
4 2 2
Direct
0.000 0.000 0.243
0.000 0.000 0.757
0.500 0.500 0.257
0.500 0.500 0.743
0.000 0.500 0.000
0.500 0.000 0.500
0.000 0.500 0.500
0.500 0.000 0.000
```


# 7
Density functional theory data (GGA-PBEsol) for an optimized crystal structure of La2ZrAg.

Output
**Energy relative to the lowest polymorph listed for this composition**: 0 meV per atom
**Energy relative to the elements**: 0.03 eV/atom
**Space group**: Cmmm, No. 65

The structure in POSCAR format:
```
La2ZrAg
1.0
7.865 0.000 0.000
0.000 7.891 0.000
0.000 0.000 3.377
La Zr Ag
4 2 2
Direct
0.250 0.250 0.000
0.250 0.750 0.000
0.750 0.250 0.000
0.750 0.750 0.000
0.000 0.000 0.500
0.500 0.500 0.500
0.000 0.500 0.500
0.500 0.000 0.500
```


# 8
Density functional theory data (GGA-PBEsol) for an optimized crystal structure of LaZr2Ag.

Output
**Energy relative to the lowest polymorph listed for this composition**: 191 meV per atom
**Energy relative to the elements**: 0.15 eV/atom
**Space group**: P2/m, No. 10

The structure in POSCAR format:
```
LaZr2Ag
1.0
3.213 0.000 0.000
0.000 5.261 0.000
-0.784 0.000 5.480
La Zr Ag
1 2 1
Direct
0.000 0.000 0.000
0.302 0.500 0.733
0.698 0.500 0.267
0.500 0.000 0.500
```


Which formula does entry 7 have?
La2ZrAg


Number 5 is which compound?
LaZrAg2